a.
The following is a DFT calculation (PBE-GGA) of an optimized crystal structure of Sr2ScRe.

The structure in POSCAR format:
```
Sr2ScRe
1.0
4.528 0.000 0.000
0.000 4.528 0.000
0.000 0.000 5.166
Re Sc Sr
1 1 2
Direct
0.500 0.000 0.500
0.000 0.500 0.500
0.000 0.000 0.000
0.500 0.500 0.000
```

Computed properties:
Its density of states at the Fermi level is 3.67 states/eV/f.u. Its space-group type is P4/mmm. For the magnetization, the calculation gives 0.000 μB/cell.

=====

b.
The following is a DFT calculation (PBE-GGA) of an optimized crystal structure of Sr2ScRe.

The structure in POSCAR format:
```
Sr2ScRe
1.0
4.762 0.002 0.002
3.468 3.263 0.002
0.917 0.364 8.465
Re Sc Sr
1 1 2
Direct
0.501 0.501 0.416
0.227 0.227 0.340
0.992 0.992 0.076
0.781 0.781 0.667
```

Computed properties:
Its density of states at the Fermi level is 3.59 states/eV/f.u. Its space-group type is Cm. For the magnetization, the calculation gives 0.000 μB/cell.

=====

c.
The following is a DFT calculation (PBE-GGA) of an optimized crystal structure of Sr2ScRe.

The structure in POSCAR format:
```
Sr2ScRe
1.0
3.650 0.000 0.000
0.000 3.647 0.027
0.000 3.574 9.174
Re Sc Sr
1 1 2
Direct
0.000 0.437 0.563
0.500 0.827 0.673
0.000 0.061 0.939
0.500 0.174 0.325
```

Computed properties:
Its density of states at the Fermi level is 4.45 states/eV/f.u. Its space-group type is P4mm. For the magnetization, the calculation gives 0.000 μB/cell.

=====

Energy ordering: c at the bottom, the next structure 15.1 kJ/mol of atoms above.

=====

a.
The following is a DFT calculation (PBE-GGA) of an optimized crystal structure of Sr2ScRe.

The structure in POSCAR format:
```
Sr2ScRe
1.0
-2.533 -0.329 1.871
-1.152 -4.513 -2.352
3.588 -3.158 4.302
Re Sc Sr
1 1 2
Direct
0.500 0.500 0.250
0.500 0.500 0.750
0.000 0.000 0.017
0.000 0.000 0.483
```

Computed properties:
Its density of states at the Fermi level is 4.89 states/eV/f.u. Its space-group type is Pmmm. For the magnetization, the calculation gives 0.709 μB/cell.

=====

b.
The following is a DFT calculation (PBE-GGA) of an optimized crystal structure of Sr2ScRe.

The structure in POSCAR format:
```
Sr2ScRe
1.0
-0.464 -5.339 -4.284
0.834 -6.375 2.397
-3.451 5.929 -0.141
Re Sc Sr
1 1 2
Direct
0.478 0.478 0.000
0.319 0.819 0.500
0.005 0.005 0.000
0.697 0.197 0.500
```

Computed properties:
Its density of states at the Fermi level is 3.67 states/eV/f.u. Its space-group type is Imm2. For the magnetization, the calculation gives 0.000 μB/cell.

=====

c.
The following is a DFT calculation (PBE-GGA) of an optimized crystal structure of Sr2ScRe.

The structure in POSCAR format:
```
Sr2ScRe
1.0
9.469 0.012 -0.015
8.879 3.292 -0.015
1.014 0.183 4.244
Re Sc Sr
1 1 2
Direct
0.750 0.750 0.750
0.250 0.250 0.250
0.097 0.097 0.903
0.403 0.403 0.597
```

Computed properties:
Its density of states at the Fermi level is 4.90 states/eV/f.u. Its space-group type is Immm. For the magnetization, the calculation gives 0.000 μB/cell.

=====

Energy ordering: c at the bottom, the next structure 8.5 kJ/mol of atoms above.

=====

a.
The following is a DFT calculation (PBE-GGA) of an optimized crystal structure of Sr2ScRe.

The structure in POSCAR format:
```
Sr2ScRe
1.0
11.490 0.000 0.000
0.000 11.490 0.000
5.745 5.745 2.420
Sc Re Sr
2 2 4
Direct
0.500 0.500 0.000
0.250 0.750 0.500
0.000 0.000 0.000
0.750 0.250 0.500
0.788 0.125 0.250
0.962 0.625 0.250
0.375 0.212 0.750
0.875 0.038 0.750
```

Computed properties:
Its density of states at the Fermi level is 3.12 states/eV/f.u. Its space-group type is I-42d. For the magnetization, the calculation gives 0.000 μB/cell.

=====

b.
The following is a DFT calculation (PBE-GGA) of an optimized crystal structure of Sr2ScRe.

The structure in POSCAR format:
```
Sr2ScRe
1.0
0.000 3.802 3.802
3.802 0.000 3.802
3.802 3.802 0.000
Sc Re Sr
1 1 2
Direct
0.000 0.000 0.000
0.500 0.500 0.500
0.250 0.250 0.250
0.750 0.750 0.750
```

Computed properties:
Its density of states at the Fermi level is 4.66 states/eV/f.u. Its space-group type is Fm-3m. For the magnetization, the calculation gives 0.008 μB/cell.

=====

Energy ordering: a at the bottom, the next structure 21.2 kJ/mol of atoms above.

=====

a.
The following is a DFT calculation (PBE-GGA) of an optimized crystal structure of Sr2ScRe.

The structure in POSCAR format:
```
Sr2ScRe
1.0
-1.445 -2.408 1.851
-1.115 -1.486 -2.804
8.710 -5.607 -0.494
Re Sc Sr
1 1 2
Direct
0.500 0.500 0.250
0.500 0.500 0.750
0.000 0.000 0.455
0.000 0.000 0.045
```

Computed properties:
Its density of states at the Fermi level is 4.64 states/eV/f.u. Its space-group type is P4/mmm. For the magnetization, the calculation gives 2.588 μB/cell.

=====

b.
The following is a DFT calculation (PBE-GGA) of an optimized crystal structure of Sr2ScRe.

The structure in POSCAR format:
```
Sr2ScRe
1.0
11.169 0.015 0.009
10.585 3.565 0.009
10.585 1.742 3.111
Re Sc Sr
1 1 2
Direct
0.492 0.492 0.492
0.773 0.773 0.773
0.007 0.007 0.007
0.228 0.228 0.228
```

Computed properties:
Its density of states at the Fermi level is 3.29 states/eV/f.u. Its space-group type is R3m. For the magnetization, the calculation gives 0.000 μB/cell.

=====

Energy ordering: b at the bottom, the next structure 30.5 kJ/mol of atoms above.

=====

a.
The following is a DFT calculation (PBE-GGA) of an optimized crystal structure of SrSc2Re.

The structure in POSCAR format:
```
SrSc2Re
1.0
7.968 0.054 -0.003
5.943 5.308 0.003
-6.647 -3.481 2.682
Re Sc Sr
1 2 1
Direct
0.763 0.263 0.500
0.899 0.899 0.000
0.260 0.760 0.500
0.578 0.578 0.000
```

Computed properties:
Its density of states at the Fermi level is 4.44 states/eV/f.u. Its space-group type is Imm2. For the magnetization, the calculation gives 0.001 μB/cell.

=====

b.
The following is a DFT calculation (PBE-GGA) of an optimized crystal structure of SrSc2Re.

The structure in POSCAR format:
```
SrSc2Re
1.0
5.842 0.000 -0.001
-2.866 5.306 0.003
0.110 0.846 2.877
Re Sc Sr
1 2 1
Direct
0.500 0.500 0.000
0.000 0.000 0.000
0.500 0.000 0.500
0.000 0.500 0.500
```

Computed properties:
Its density of states at the Fermi level is 3.75 states/eV/f.u. Its space-group type is C2/m. For the magnetization, the calculation gives 0.002 μB/cell.

=====

c.
The following is a DFT calculation (PBE-GGA) of an optimized crystal structure of SrSc2Re.

The structure in POSCAR format:
```
SrSc2Re
1.0
5.336 0.030 0.000
1.245 5.189 0.000
-3.291 -2.609 3.292
Re Sc Sr
1 2 1
Direct
0.750 0.250 0.500
0.000 0.000 0.000
0.250 0.750 0.500
0.500 0.500 0.000
```

Computed properties:
Its density of states at the Fermi level is 4.11 states/eV/f.u. Its space-group type is I-4m2. For the magnetization, the calculation gives 0.000 μB/cell.

=====

Energy ordering: a at the bottom, the next structure 26.5 kJ/mol of atoms above.